VASP calculation (GGA-PBE) on a relaxed structure of La2HgIr. Values from VASP.

Output
Space group: R-3m, No. 166
Fermi-level density of states: 3.5 states/eV/cell
Energy: -5.406 eV/atom
DFT formation energy: -0.65 eV/atom

Quantum ESPRESSO input file:
```
&SYSTEM
  ibrav = 0, nat = 4, ntyp = 3
/
ATOMIC_SPECIES
La 138.91 La.upf
Hg 200.59 Hg.upf
Ir 192.22 Ir.upf
CELL_PARAMETERS angstrom
8.2798 -0.0215 -0.0130
7.2196 4.0537 -0.0130
7.2196 1.8782 3.5924
ATOMIC_POSITIONS angstrom
La 0.3912 0.1018 0.0614
Hg 5.6798 1.4776 0.8916
La 10.9683 2.8534 1.7218
Ir 17.0393 4.4328 2.6748
```



VASP calculation (GGA-PBE) on a relaxed structure of LaHg2Ir. Values from VASP.

Output
Space group: Cm, No. 8
Fermi-level density of states: 2.1 states/eV/cell
Energy: -3.869 eV/atom
DFT formation energy: -0.27 eV/atom

Quantum ESPRESSO input file:
```
&SYSTEM
  ibrav = 0, nat = 4, ntyp = 3
/
ATOMIC_SPECIES
La 138.91 La.upf
Hg 200.59 Hg.upf
Ir 192.22 Ir.upf
CELL_PARAMETERS angstrom
-1.6031 5.0244 1.2444
-0.7148 2.7660 4.6045
3.7036 4.2921 1.9056
ATOMIC_POSITIONS angstrom
La 0.5372 2.7099 1.6793
Hg 0.4416 8.8552 5.8350
Hg 3.4855 4.2529 1.9370
Ir 1.3179 6.5980 4.0862
```



VASP calculation (GGA-PBE) on a relaxed structure of La3HgIr. Values from VASP.

Output
Space group: Pm-3m, No. 221
Fermi-level density of states: 6.9 states/eV/cell
Energy: -5.181 eV/atom
DFT formation energy: -0.39 eV/atom

Quantum ESPRESSO input file:
```
&SYSTEM
  ibrav = 0, nat = 5, ntyp = 3
/
ATOMIC_SPECIES
La 138.91 La.upf
Hg 200.59 Hg.upf
Ir 192.22 Ir.upf
CELL_PARAMETERS angstrom
-1.8009 -2.1391 4.8628
-0.0912 -5.1214 -2.2866
5.3117 -0.8132 1.6094
ATOMIC_POSITIONS angstrom
La -0.9004 -1.0695 2.4314
La -0.0456 -2.5607 -1.1433
La 2.6559 -0.4066 0.8047
Hg 1.7098 -4.0369 2.0928
Ir 0.0000 0.0000 0.0000
```



VASP calculation (GGA-PBE) on a relaxed structure of LaHg2Ir. Values from VASP.

Output
Space group: Pmm2, No. 25
Fermi-level density of states: 1.0 states/eV/cell
Energy: -3.799 eV/atom
DFT formation energy: -0.20 eV/atom

Quantum ESPRESSO input file:
```
&SYSTEM
  ibrav = 0, nat = 4, ntyp = 3
/
ATOMIC_SPECIES
La 138.91 La.upf
Hg 200.59 Hg.upf
Ir 192.22 Ir.upf
CELL_PARAMETERS angstrom
3.3906 0.0000 0.0000
0.0000 3.6587 0.0000
0.0000 0.0000 7.8015
ATOMIC_POSITIONS angstrom
La 1.6953 1.8293 5.4617
Hg 1.6953 1.8293 2.2012
Ir 0.0000 0.0000 3.8718
Hg 0.0000 0.0000 0.1675
```



VASP calculation (GGA-PBE) on a relaxed structure of LaHg2Ir. Values from VASP.

Output
Space group: Immm, No. 71
Fermi-level density of states: 2.3 states/eV/cell
Energy: -3.837 eV/atom
DFT formation energy: -0.24 eV/atom

Quantum ESPRESSO input file:
```
&SYSTEM
  ibrav = 0, nat = 4, ntyp = 3
/
ATOMIC_SPECIES
Ir 192.22 Ir.upf
Hg 200.59 Hg.upf
La 138.91 La.upf
CELL_PARAMETERS angstrom
5.9675 0.0151 -0.0094
2.8659 5.2343 0.0094
-4.1215 -3.1214 2.9802
ATOMIC_POSITIONS angstrom
Ir 3.1313 -0.2408 1.4854
Hg 8.5838 5.1011 0.0000
La 1.5805 2.3688 1.4948
Hg 4.6663 2.7731 0.0000
```



VASP calculation (GGA-PBE) on a relaxed structure of La2HgIr. Values from VASP.

Output
Space group: R3m, No. 160
Fermi-level density of states: 4.3 states/eV/cell
Energy: -4.872 eV/atom
DFT formation energy: -0.12 eV/atom

Quantum ESPRESSO input file:
```
&SYSTEM
  ibrav = 0, nat = 4, ntyp = 3
/
ATOMIC_SPECIES
La 138.91 La.upf
Ir 192.22 Ir.upf
Hg 200.59 Hg.upf
CELL_PARAMETERS angstrom
9.0608 -0.0046 -0.0027
8.1557 3.9475 -0.0027
8.1557 1.8678 3.4776
ATOMIC_POSITIONS angstrom
La 0.7904 0.1810 0.1082
Ir 19.1723 4.3908 2.6237
La 5.9106 1.3536 0.8089
Hg 12.1852 2.7906 1.6675
```



VASP calculation (GGA-PBE) on a relaxed structure of La2HgIr. Values from VASP.

Output
Space group: Imm2, No. 44
Fermi-level density of states: 3.5 states/eV/cell
Energy: -5.229 eV/atom
DFT formation energy: -0.48 eV/atom

Quantum ESPRESSO input file:
```
&SYSTEM
  ibrav = 0, nat = 4, ntyp = 3
/
ATOMIC_SPECIES
Hg 200.59 Hg.upf
Ir 192.22 Ir.upf
La 138.91 La.upf
CELL_PARAMETERS angstrom
7.2556 0.0459 -0.0186
4.8257 5.4183 0.0186
-5.7780 -3.3128 2.8786
ATOMIC_POSITIONS angstrom
Hg 5.3160 2.4043 0.0000
Ir 2.3870 2.3477 1.4486
La 0.7228 0.3269 0.0000
La 3.9181 -0.1955 1.4300
```



VASP calculation (GGA-PBE) on a relaxed structure of LaHg2Ir. Values from VASP.

Output
Space group: Fm-3m, No. 225
Fermi-level density of states: 5.1 states/eV/cell
Energy: -3.684 eV/atom
DFT formation energy: -0.09 eV/atom

Quantum ESPRESSO input file:
```
&SYSTEM
  ibrav = 0, nat = 4, ntyp = 3
/
ATOMIC_SPECIES
Hg 200.59 Hg.upf
Ir 192.22 Ir.upf
La 138.91 La.upf
CELL_PARAMETERS angstrom
-4.7668 -0.2896 1.6535
-2.9057 4.1343 0.0707
-3.8366 0.4481 -3.2588
ATOMIC_POSITIONS angstrom
Hg -2.8773 1.0732 -0.3836
Ir -5.7545 2.1464 -0.7673
Hg -8.6318 3.2196 -1.1509
La 0.0000 0.0000 0.0000
```